The following is a DFT calculation (PBE-GGA) of a relaxed structure of Hf2AsP.

For the formation enthalpy at 0 K, the calculation gives -455.7 meV/atom.

The space group is I-42d (No. 122) and the conventional cell measures 5.9102, 5.9102 and 11.7813 Å, with angles of 90.00, 90.00 and 90.00 degrees. The inequivalent atoms are Hf at (0.2361, 0.2500, 0.1250), As at (0.0000, 0.0000, 0.5000) and P at (0.0000, 0.0000, 0.0000).


The following is a DFT calculation (PBE-GGA) of a relaxed structure of VCu2Rh5.

For the formation enthalpy at 0 K, the calculation gives -170.4 meV/atom.

The space group is I4/mmm (No. 139) and the conventional cell measures 3.8615, 3.8615 and 14.5869 Å, with angles of 90.00, 90.00 and 90.00 degrees. The inequivalent atoms are V at (0.0000, 0.0000, 0.0000), Cu at (0.0000, 0.0000, 0.2510), Rh at (0.0000, 0.0000, 0.5000) and Rh at (0.0000, 0.5000, 0.1246).


The following is a DFT calculation (PBE-GGA) of a relaxed structure of TbHoAl3.

For the formation enthalpy at 0 K, the calculation gives -445.3 meV/atom.

The space group is Cmcm (No. 63) and the conventional cell measures 3.5289, 27.6867 and 4.5394 Å, with angles of 90.00, 90.00 and 90.00 degrees. The inequivalent atoms are Tb at (0.0000, 0.2114, 0.2500), Ho at (0.0000, 0.0712, 0.7500), Al at (0.0000, 0.3304, 0.2500), Al at (0.0000, 0.3818, 0.7500) and Al at (0.0000, 0.4763, 0.7500).